# NbTcC3 (GGA-PBE, optimized geometry)
data_NbTcC3
_chemical_formula_sum 'Nb1 Tc1 C3'
_cell_length_a 3.931
_cell_length_b 3.931
_cell_length_c 3.931
_cell_angle_alpha 90.00
_cell_angle_beta 90.00
_cell_angle_gamma 90.00
_symmetry_space_group_name_H-M 'P m -3 m'
_symmetry_Int_Tables_number 221
_symmetry_space_group_name_Hall '-P 4 2 3'
loop_
_atom_site_label
_atom_site_type_symbol
_atom_site_fract_x
_atom_site_fract_y
_atom_site_fract_z
Nb1 Nb 0.000 0.000 0.000
Tc1 Tc 0.500 0.500 0.500
C1 C 0.000 0.500 0.500
# Formation enthalpy at 0 K: 1.749 eV/atom
# Energy relative to the lowest polymorph listed for this composition: 0.000 eV per atom